# HfMnNbO6 (GGA+U, relaxed)
data_HfMnNbO6
_symmetry_space_group_name_H-M 'P 1'
_symmetry_Int_Tables_number 1
_cell_length_a 5.300
_cell_length_b 5.300
_cell_length_c 4.449
_cell_angle_alpha 90.00
_cell_angle_beta 90.00
_cell_angle_gamma 120.00
loop_
_symmetry_equiv_pos_as_xyz
'x,y,z'
loop_
_atom_site_label
_atom_site_fract_x
_atom_site_fract_y
_atom_site_fract_z
Hf1 0.000 0.000 0.000
Mn1 0.667 0.333 0.500
Nb1 0.333 0.667 0.000
O1 0.010 0.342 0.240
O2 0.010 0.668 0.760
O3 0.332 0.342 0.760
O4 0.332 0.990 0.240
O5 0.658 0.668 0.240
O6 0.658 0.990 0.760
# space group	P312 (149)
# total DFT energy (no corrections)	-79.20	eV for the cell shown
# theoretical density	6.5	g/cm3